# 1
DFT (GGA-PBE) results for a relaxed Ac2Pm crystal.

a = 3.9041 Å, b = 5.4682 Å, c = 6.7117 Å
α = 66.05°, β = 73.23°, γ = 89.95°
Atoms (fractional coordinates):
1 Ac 0.1646 0.1641 0.1720
2 Ac 0.8354 0.8359 0.8280
3 Pm 0.5000 0.5000 0.5000

Results
The calculation puts the energy at -4.28 eV per atom. The magnetic moment is 0.0 μB/f.u. Its formation energy is 0.04 eV/atom.

***

# 2
DFT (GGA-PBE) results for a relaxed Ac7Pm3 crystal.

a = 10.2940 Å, b = 10.2940 Å, c = 7.7506 Å
α = 101.38°, β = 101.38°, γ = 31.19°
Atoms (fractional coordinates):
1 Ac 0.0000 0.0000 0.0000
2 Ac 0.2006 0.2006 0.6036
3 Ac 0.3975 0.3975 0.1965
4 Ac 0.4011 0.4011 0.6996
5 Ac 0.5989 0.5989 0.3004
6 Ac 0.6025 0.6025 0.8035
7 Ac 0.7994 0.7994 0.3964
8 Pm 0.0000 0.0000 0.5000
9 Pm 0.2018 0.2018 0.1002
10 Pm 0.7982 0.7982 0.8998

Results
The calculation puts the energy at -4.27 eV per atom. The magnetic moment is 0.0 μB/f.u. Its formation energy is 0.03 eV/atom.

***

# 3
DFT (GGA-PBE) results for a relaxed Ac4Pm2Pr3 crystal.

a = 6.5667 Å, b = 6.5667 Å, c = 11.4504 Å
α = 105.67°, β = 105.67°, γ = 49.12°
Atoms (fractional coordinates):
1 Ac 0.0024 0.0024 0.3322
2 Ac 0.3331 0.3331 0.1112
3 Ac 0.6669 0.6669 0.8888
4 Ac 0.9976 0.9976 0.6678
5 Pm 0.3301 0.3301 0.7736
6 Pm 0.6699 0.6699 0.2264
7 Pr 0.0000 0.0000 0.0000
8 Pr 0.3344 0.3344 0.4476
9 Pr 0.6656 0.6656 0.5524

Results
The calculation puts the energy at -4.44 eV per atom. The magnetic moment is 0.0 μB/f.u. Its formation energy is 0.03 eV/atom.

***

# 4
DFT (GGA-PBE) results for a relaxed AcPm7Pr2 crystal.

a = 10.5697 Å, b = 10.5697 Å, c = 3.6094 Å
α = 90.00°, β = 90.00°, γ = 110.26°
Atoms (fractional coordinates):
1 Ac 0.0000 0.0000 0.0000
2 Pm 0.1268 0.3891 0.5000
3 Pm 0.3286 0.6714 0.0000
4 Pm 0.3891 0.1268 0.5000
5 Pm 0.5000 0.5000 0.5000
6 Pm 0.6109 0.8732 0.5000
7 Pm 0.6714 0.3286 0.0000
8 Pm 0.8732 0.6109 0.5000
9 Pr 0.1780 0.8220 0.5000
10 Pr 0.8220 0.1780 0.5000

Results
The calculation puts the energy at -4.31 eV per atom. The magnetic moment is 0.0 μB/f.u. Its formation energy is 0.38 eV/atom.